1.
3
Lattice="-1.982 3.445 -1.221 -1.547 -3.738 -0.958 -3.740 -0.005 6.056" Properties=species:S:1:pos:R:3 comment="LaSbSe, optimized geometry, DFT PBE" space_group="P3m1 (156)" e_form_raw_mev_per_atom=-737 pbc="T T T"
Se -4.573 1.047 3.297
La -3.579 -0.005 5.795
Sb -2.857 -1.346 0.841

2.
4
Lattice="4.510 0.000 0.000 -2.255 3.905 0.005 0.000 -2.591 5.210" Properties=species:S:1:pos:R:3 comment="LiAcCuAu, optimized geometry, DFT PBE" space_group="Cm (8)" polymorph_energy_kj_per_mol_fu=0 formation_energy_ev_per_fu=-1.73 pbc="T T T"
Cu 2.255 2.232 0.538
Ac 2.255 -0.364 2.568
Au 0.000 0.946 4.576
Li 0.000 -1.659 5.182

3.
5
Lattice="-3.721 3.721 1.627 3.721 -3.721 1.627 3.721 3.721 -1.627" Properties=species:S:1:pos:R:3 comment="MgP4, optimized geometry, DFT PBE" space_group="I4/m (87)" formation_energy_ev_per_fu=0.45 pbc="T T T"
P 4.928 1.505 0.000
P 2.217 1.206 1.627
P 1.505 2.515 0.000
P -1.206 2.217 1.627
Mg 0.000 0.000 0.000

| no. | E (eV/f.u.) | magnetization (Bohr magnetons per cell) |
| --- | --- | --- |
| 1 | -14.7 | 0.00 |
| 2 | -15.1 | 0.00 |
| 3 | -22.8 | 0.00 |